Record 1
First-principles (meta-GGA SCAN) data for a PBEsol-optimized structure of Rb2PdC2, as listed in Alexandria via LeMat-Bulk.

Values from the calculation:
ΔH_f (0 K) = -0.043 eV per atom

a b c (Å): 5.3392 5.3392 5.2348
angles (deg): 90.00 90.00 120.00
Sites, in units of the cell vectors:
Rb 0.3333 0.6667 0.2213
Rb 0.6667 0.3333 0.7787
Pd 0.0000 0.0000 0.5000
C 0.0000 0.0000 0.1216
C 0.0000 0.0000 0.8784

---

Record 2
First-principles (meta-GGA SCAN) data for a PBEsol-optimized structure of Rb2PdC, as listed in Alexandria via LeMat-Bulk.

Values from the calculation:
ΔH_f (0 K) = 0.401 eV per atom

a b c (Å): 8.7018 8.7018 8.7018
angles (deg): 92.81 92.81 154.43
Sites, in units of the cell vectors:
Rb 0.3750 0.0770 0.2020
Rb 0.8270 0.6250 0.7020
Rb 0.8750 0.1730 0.7980
Rb 0.9230 0.1250 0.2980
Pd 0.2500 0.7500 0.5000
Pd 0.5000 0.5000 0.0000
C 0.0000 0.0000 0.0000
C 0.7500 0.2500 0.5000

---

Record 3
First-principles (meta-GGA SCAN) data for a PBEsol-optimized structure of Re3PdC, as listed in Alexandria via LeMat-Bulk.

Values from the calculation:
ΔH_f (0 K) = 0.442 eV per atom

a b c (Å): 4.0385 4.0385 4.0385
angles (deg): 90.00 90.00 90.00
Sites, in units of the cell vectors:
Re 0.0000 0.0000 0.5000
Re 0.0000 0.5000 0.0000
Re 0.5000 0.0000 0.0000
Pd 0.5000 0.5000 0.5000
C 0.0000 0.0000 0.0000

---

Record 4
First-principles (meta-GGA SCAN) data for a PBEsol-optimized structure of Zr2PdRuC, as listed in Alexandria via LeMat-Bulk.

Values from the calculation:
ΔH_f (0 K) = 0.899 eV per atom

a b c (Å): 5.0527 5.0527 3.6492
angles (deg): 90.00 90.00 90.00
Sites, in units of the cell vectors:
Zr 0.0000 0.5000 0.0000
Zr 0.5000 0.0000 0.0000
Pd 0.0000 0.0000 0.0000
Ru 0.5000 0.5000 0.5000
C 0.0000 0.0000 0.5000

---

Record 5
First-principles (meta-GGA SCAN) data for a PBEsol-optimized structure of Pd3CS, as listed in Alexandria via LeMat-Bulk.

Values from the calculation:
raw formation energy = 124 kJ/mol of atoms

a b c (Å): 4.3698 4.3698 4.3698
angles (deg): 90.00 90.00 90.00
Sites, in units of the cell vectors:
Pd 0.0000 0.0000 0.5000
Pd 0.0000 0.5000 0.0000
Pd 0.5000 0.0000 0.0000
C 0.5000 0.5000 0.5000
S 0.0000 0.0000 0.0000

---

Record 6
First-principles (meta-GGA SCAN) data for a PBEsol-optimized structure of ScPdC2, as listed in Alexandria via LeMat-Bulk.

Values from the calculation:
ΔH_f (0 K) = 0.680 eV per atom

a b c (Å): 6.1379 6.1379 6.1379
angles (deg): 135.99 135.99 64.00
Sites, in units of the cell vectors:
Sc 0.0000 0.0000 0.0000
Sc 0.7500 0.2500 0.5000
Pd 0.2500 0.7500 0.5000
Pd 0.5000 0.5000 0.0000
C 0.1711 0.6250 0.0461
C 0.3750 0.4211 0.5461
C 0.5789 0.1250 0.9539
C 0.8750 0.8289 0.4539

---

Record 7
First-principles (meta-GGA SCAN) data for a PBEsol-optimized structure of Sc3PdC, as listed in Alexandria via LeMat-Bulk.

Values from the calculation:
ΔH_f (0 K) = -0.661 eV per atom
excess energy over the best structure of this formula in the dataset = 0.000 eV/atom

a b c (Å): 4.4236 4.4236 4.4236
angles (deg): 90.00 90.00 90.00
Sites, in units of the cell vectors:
Sc 0.0000 0.0000 0.5000
Sc 0.0000 0.5000 0.0000
Sc 0.5000 0.0000 0.0000
Pd 0.5000 0.5000 0.5000
C 0.0000 0.0000 0.0000

---

Record 8
First-principles (meta-GGA SCAN) data for a PBEsol-optimized structure of Sn3PdC, as listed in Alexandria via LeMat-Bulk.

Values from the calculation:
ΔH_f (0 K) = 0.956 eV per atom

a b c (Å): 4.6313 4.6313 4.6313
angles (deg): 90.00 90.00 90.00
Sites, in units of the cell vectors:
Sn 0.0000 0.0000 0.5000
Sn 0.0000 0.5000 0.0000
Sn 0.5000 0.0000 0.0000
Pd 0.5000 0.5000 0.5000
C 0.0000 0.0000 0.0000

---

Record 9
First-principles (meta-GGA SCAN) data for a PBEsol-optimized structure of SrPdC3, as listed in Alexandria via LeMat-Bulk.

Values from the calculation:
ΔH_f (0 K) = 1.969 eV per atom

a b c (Å): 4.1139 4.1139 4.1139
angles (deg): 90.00 90.00 90.00
Sites, in units of the cell vectors:
Sr 0.0000 0.0000 0.0000
Pd 0.5000 0.5000 0.5000
C 0.0000 0.5000 0.5000
C 0.5000 0.0000 0.5000
C 0.5000 0.5000 0.0000

---

Record 10
First-principles (meta-GGA SCAN) data for a PBEsol-optimized structure of TaPd2C2, as listed in Alexandria via LeMat-Bulk.

Values from the calculation:
ΔH_f (0 K) = 0.825 eV per atom

a b c (Å): 5.0355 5.0355 5.0355
angles (deg): 137.89 137.89 61.06
Sites, in units of the cell vectors:
Ta 0.0000 0.0000 0.0000
Pd 0.2500 0.7500 0.5000
Pd 0.7500 0.2500 0.5000
C 0.4189 0.4189 0.0000
C 0.5811 0.5811 0.0000

---

Record 11
First-principles (meta-GGA SCAN) data for a PBEsol-optimized structure of TcPdC2, as listed in Alexandria via LeMat-Bulk.

Values from the calculation:
ΔH_f (0 K) = 1.470 eV per atom

a b c (Å): 3.7915 3.7915 3.7915
angles (deg): 60.00 60.00 60.00
Sites, in units of the cell vectors:
Tc 0.0000 0.0000 0.0000
Pd 0.5000 0.5000 0.5000
C 0.2500 0.2500 0.2500
C 0.7500 0.7500 0.7500

---

Record 12
First-principles (meta-GGA SCAN) data for a PBEsol-optimized structure of TePd2C, as listed in Alexandria via LeMat-Bulk.

Values from the calculation:
raw formation energy = 43 kJ/mol of atoms

a b c (Å): 6.8529 6.8529 6.8529
angles (deg): 138.16 138.16 60.65
Sites, in units of the cell vectors:
Te 0.0000 0.0000 0.0000
Te 0.7500 0.2500 0.5000
Pd 0.2486 0.6250 0.1236
Pd 0.3750 0.4986 0.6236
Pd 0.5014 0.1250 0.8764
Pd 0.8750 0.7514 0.3764
C 0.2500 0.7500 0.5000
C 0.5000 0.5000 0.0000

---

Record 13
First-principles (meta-GGA SCAN) data for a PBEsol-optimized structure of TePdC2, as listed in Alexandria via LeMat-Bulk.

Values from the calculation:
raw formation energy = 144 kJ/mol of atoms

a b c (Å): 6.0167 6.0167 6.0167
angles (deg): 131.47 131.47 71.06
Sites, in units of the cell vectors:
Te 0.0000 0.0000 0.0000
Te 0.7500 0.2500 0.5000
Pd 0.2500 0.7500 0.5000
Pd 0.5000 0.5000 0.0000
C 0.1523 0.6250 0.0273
C 0.3750 0.4023 0.5273
C 0.5977 0.1250 0.9727
C 0.8750 0.8477 0.4727

---

Record 14
First-principles (meta-GGA SCAN) data for a PBEsol-optimized structure of YPdC3, as listed in Alexandria via LeMat-Bulk.

Values from the calculation:
ΔH_f (0 K) = 1.685 eV per atom

a b c (Å): 4.0093 4.0093 4.0093
angles (deg): 90.00 90.00 90.00
Sites, in units of the cell vectors:
Y 0.0000 0.0000 0.0000
Pd 0.5000 0.5000 0.5000
C 0.0000 0.5000 0.5000
C 0.5000 0.0000 0.5000
C 0.5000 0.5000 0.0000

---

Record 15
First-principles (meta-GGA SCAN) data for a PBEsol-optimized structure of PrC2, as listed in Alexandria via LeMat-Bulk.

Values from the calculation:
ΔH_f (0 K) = -0.247 eV per atom

a b c (Å): 4.2153 4.2153 4.2153
angles (deg): 126.03 126.03 79.83
Sites, in units of the cell vectors:
Pr 0.0000 0.0000 0.0000
C 0.3997 0.3997 0.0000
C 0.6003 0.6003 0.0000

---

Record 16
First-principles (meta-GGA SCAN) data for a PBEsol-optimized structure of Pr2C3, as listed in Alexandria via LeMat-Bulk.

Values from the calculation:
ΔH_f (0 K) = -0.265 eV per atom

a b c (Å): 7.4344 7.4344 7.4344
angles (deg): 109.47 109.47 109.47
Sites, in units of the cell vectors:
Pr 0.0000 0.1036 0.5000
Pr 0.0000 0.6036 0.5000
Pr 0.1036 0.5000 0.0000
Pr 0.3964 0.3964 0.3964
Pr 0.5000 0.0000 0.1036
Pr 0.5000 0.0000 0.6036
Pr 0.6036 0.5000 0.0000
Pr 0.8964 0.8964 0.8964
C 0.0475 0.7975 0.2500
C 0.2025 0.9525 0.2500
C 0.2500 0.0475 0.7975
C 0.2500 0.2025 0.9525
C 0.2975 0.5475 0.7500
C 0.4525 0.7025 0.7500
C 0.5475 0.7500 0.2975
C 0.7025 0.7500 0.4525
C 0.7500 0.2975 0.5475
C 0.7500 0.4525 0.7025
C 0.7975 0.2500 0.0475
C 0.9525 0.2500 0.2025

---

Record 17
First-principles (meta-GGA SCAN) data for a PBEsol-optimized structure of Pr2ReC2, as listed in Alexandria via LeMat-Bulk.

Values from the calculation:
ΔH_f (0 K) = -0.338 eV per atom

a b c (Å): 6.6770 5.3521 10.1614
angles (deg): 90.00 90.00 90.00
Sites, in units of the cell vectors:
Pr 0.0246 0.2500 0.2134
Pr 0.1904 0.2500 0.5494
Pr 0.3096 0.7500 0.0494
Pr 0.4754 0.7500 0.7134
Pr 0.5246 0.2500 0.2866
Pr 0.6904 0.2500 0.9506
Pr 0.8096 0.7500 0.4506
Pr 0.9754 0.7500 0.7866
Re 0.2308 0.2500 0.8576
Re 0.2692 0.7500 0.3576
Re 0.7308 0.2500 0.6424
Re 0.7692 0.7500 0.1424
C 0.0328 0.7500 0.2423
C 0.1866 0.7500 0.5374
C 0.3134 0.2500 0.0374
C 0.4672 0.2500 0.7423
C 0.5328 0.7500 0.2577
C 0.6866 0.7500 0.9626
C 0.8134 0.2500 0.4626
C 0.9672 0.2500 0.7577

---

Record 18
First-principles (meta-GGA SCAN) data for a PBEsol-optimized structure of Pr12Re5C15, as listed in Alexandria via LeMat-Bulk.

Values from the calculation:
ΔH_f (0 K) = -0.341 eV per atom

a b c (Å): 10.9721 10.9721 5.3379
angles (deg): 90.00 90.00 120.00
Sites, in units of the cell vectors:
Pr 0.0000 0.2046 0.0000
Pr 0.0000 0.5780 0.0000
Pr 0.1876 0.4588 0.5000
Pr 0.2046 0.0000 0.0000
Pr 0.2712 0.8124 0.5000
Pr 0.4220 0.4220 0.0000
Pr 0.4588 0.1876 0.5000
Pr 0.5412 0.7288 0.5000
Pr 0.5780 0.0000 0.0000
Pr 0.7288 0.5412 0.5000
Pr 0.7954 0.7954 0.0000
Pr 0.8124 0.2712 0.5000
Re 0.0000 0.8482 0.5000
Re 0.1518 0.1518 0.5000
Re 0.3333 0.6667 0.0000
Re 0.6667 0.3333 0.0000
Re 0.8482 0.0000 0.5000
C 0.0000 0.2068 0.5000
C 0.0000 0.5492 0.5000
C 0.0000 0.6725 0.5000
C 0.1882 0.4747 0.0000
C 0.2068 0.0000 0.5000
C 0.2864 0.8118 0.0000
C 0.3275 0.3275 0.5000
C 0.4508 0.4508 0.5000
C 0.4747 0.1882 0.0000
C 0.5253 0.7136 0.0000
C 0.5492 0.0000 0.5000
C 0.6725 0.0000 0.5000
C 0.7136 0.5253 0.0000
C 0.7932 0.7932 0.5000
C 0.8118 0.2864 0.0000

---

Record 19
First-principles (meta-GGA SCAN) data for a PBEsol-optimized structure of PrRe2SiC, as listed in Alexandria via LeMat-Bulk.

Values from the calculation:
raw formation energy = -45 kJ/mol of atoms

a b c (Å): 5.8012 5.8012 7.2934
angles (deg): 90.00 90.00 139.48
Sites, in units of the cell vectors:
Pr 0.0434 0.9566 0.7500
Pr 0.9566 0.0434 0.2500
Re 0.3252 0.6748 0.5623
Re 0.3252 0.6748 0.9377
Re 0.6748 0.3252 0.0623
Re 0.6748 0.3252 0.4377
Si 0.2344 0.7656 0.2500
Si 0.7656 0.2344 0.7500
C 0.5000 0.5000 0.0000
C 0.5000 0.5000 0.5000

---

Record 20
First-principles (meta-GGA SCAN) data for a PBEsol-optimized structure of PrRh3C, as listed in Alexandria via LeMat-Bulk.

Values from the calculation:
ΔH_f (0 K) = -0.412 eV per atom

a b c (Å): 4.1844 4.1844 4.1844
angles (deg): 90.00 90.00 90.00
Sites, in units of the cell vectors:
Pr 0.0000 0.0000 0.0000
Rh 0.0000 0.5000 0.5000
Rh 0.5000 0.0000 0.5000
Rh 0.5000 0.5000 0.0000
C 0.5000 0.5000 0.5000